[1]
10
Lattice="5.6948 0.0000 0.0000 0.0000 5.6948 0.0000 0.0000 0.0000 13.8824" Properties=species:S:1:pos:R:3 comment="Cs2TlGe2, optimized geometry, DFT PBE" spacegroup="I4/mmm (139)" magnetic_moment_mub_per_cell=0.04 e_above_lowest_polymorph_ev_per_atom=0.1754 n_ef_per_ev_atom=0.715 formation_enthalpy_0k_ev_per_atom=0.161 pbc="T T T"
Cs 0.0000 2.8474 3.4706
Cs 0.0000 2.8474 10.4118
Cs 2.8474 0.0000 3.4706
Cs 2.8474 0.0000 10.4118
Tl 0.0000 0.0000 0.0000
Tl 2.8474 2.8474 6.9412
Ge 0.0000 0.0000 5.8109
Ge 0.0000 0.0000 8.0715
Ge 2.8474 2.8474 1.1303
Ge 2.8474 2.8474 12.7520

***

[2]
12
Lattice="16.0733 0.0000 0.0000 0.0000 4.1312 0.0000 -1.5720 0.0000 7.2266" Properties=species:S:1:pos:R:3 comment="CsTlGe, optimized geometry, DFT PBE" spacegroup="C2/m (12)" magnetic_moment_mub_per_cell=0.00 n_ef_per_ev_atom=0.182 formation_enthalpy_0k_ev_per_atom=-0.064 pbc="T T T"
Cs 1.3725 0.0000 2.5749
Cs 5.0921 2.0656 4.6518
Cs 9.4092 2.0656 2.5749
Cs 13.1287 0.0000 4.6518
Tl 0.2173 2.0656 6.1224
Tl 6.2473 0.0000 1.1043
Tl 8.2539 0.0000 6.1224
Tl 14.2839 2.0656 1.1043
Ge 2.5732 0.0000 6.3745
Ge 3.8914 2.0656 0.8521
Ge 10.6098 2.0656 6.3745
Ge 11.9281 0.0000 0.8521